[1]
Compound: SrLaZn2Ru
Source: Alexandria via LeMat-Bulk
Functional: PBE-GGA
Structure: optimized geometry

The structure in POSCAR format:
```
SrLaZn2Ru
1.0
5.156 0.000 0.000
0.000 5.156 0.000
0.000 0.000 5.023
Sr La Zn Ru
1 1 2 1
direct
0.000 0.000 0.000
0.500 0.500 0.000
0.000 0.500 0.500
0.500 0.000 0.500
0.500 0.500 0.500
```

Values from the calculation:
E_tot (eV per cell): -19.027

***

[2]
Compound: SrLaZrRu2
Source: Alexandria via LeMat-Bulk
Functional: PBE-GGA
Structure: optimized geometry

The structure in POSCAR format:
```
SrLaZrRu2
1.0
4.959 0.000 0.000
0.000 4.959 0.000
0.000 0.000 5.419
Sr La Zr Ru
1 1 1 2
direct
0.000 0.000 0.000
0.500 0.500 0.000
0.000 0.000 0.500
0.000 0.500 0.500
0.500 0.000 0.500
```

Values from the calculation:
E_tot (eV per cell): -29.603